1:
Nb6AlMo after structural relaxation. Source: Alexandria, functional PBE.

Cell: 5.216 5.216 5.216 Å, 89.95 89.95 89.95°
Positions (direct):
1 Nb 0.001 0.500 0.254
2 Nb 0.254 0.001 0.500
3 Nb 0.500 0.254 0.001
4 Nb 0.500 0.746 0.999
5 Nb 0.746 0.999 0.500
6 Nb 0.999 0.500 0.746
7 Al 0.000 0.000 0.000
8 Mo 0.500 0.500 0.500

The value obtained for the total moment is 0.00 μB/f.u.

---

2:
Nb6AlMo after structural relaxation. Source: Alexandria, functional PBE.

Cell: 4.665 4.665 12.986 Å, 90.00 90.00 90.00°
Positions (direct):
1 Nb 0.000 0.000 0.247
2 Nb 0.000 0.000 0.753
3 Nb 0.000 0.500 0.124
4 Nb 0.000 0.500 0.376
5 Nb 0.000 0.500 0.624
6 Nb 0.000 0.500 0.876
7 Nb 0.500 0.000 0.124
8 Nb 0.500 0.000 0.376
9 Nb 0.500 0.000 0.624
10 Nb 0.500 0.000 0.876
11 Nb 0.500 0.500 0.253
12 Nb 0.500 0.500 0.747
13 Al 0.000 0.000 0.000
14 Al 0.500 0.500 0.500
15 Mo 0.000 0.000 0.500
16 Mo 0.500 0.500 0.000

The value obtained for the total moment is 0.00 μB/f.u.

---

So which one wins? Going from most stable to least: 1, 2.

---

1:
NbAl2Mo after structural relaxation. Source: Alexandria, functional PBE.

Cell: 6.353 6.353 6.353 Å, 90.00 90.00 90.00°
Positions (direct):
1 Nb 0.000 0.000 0.000
2 Nb 0.000 0.500 0.500
3 Nb 0.500 0.000 0.500
4 Nb 0.500 0.500 0.000
5 Al 0.250 0.250 0.250
6 Al 0.250 0.250 0.750
7 Al 0.250 0.750 0.250
8 Al 0.250 0.750 0.750
9 Al 0.750 0.250 0.250
10 Al 0.750 0.250 0.750
11 Al 0.750 0.750 0.250
12 Al 0.750 0.750 0.750
13 Mo 0.000 0.000 0.500
14 Mo 0.000 0.500 0.000
15 Mo 0.500 0.000 0.000
16 Mo 0.500 0.500 0.500

The value obtained for the total moment is 0.00 μB/f.u.

---

2:
NbAl2Mo after structural relaxation. Source: Alexandria, functional PBE.

Cell: 3.926 3.926 4.183 Å, 90.00 90.00 90.00°
Positions (direct):
1 Nb 0.000 0.000 0.000
2 Al 0.000 0.500 0.500
3 Al 0.500 0.000 0.500
4 Mo 0.500 0.500 0.000

The value obtained for the total moment is 0.00 μB/f.u.

---

So which one wins? Going from most stable to least: 2, 1.

---

1:
NbAl2Mo after structural relaxation. Source: Alexandria, functional PBE.

Cell: 7.061 7.061 5.507 Å, 90.00 90.00 90.00°
Positions (direct):
1 Nb 0.000 0.000 0.000
2 Nb 0.000 0.500 0.250
3 Nb 0.500 0.000 0.750
4 Nb 0.500 0.500 0.500
5 Al 0.241 0.250 0.625
6 Al 0.250 0.741 0.875
7 Al 0.250 0.759 0.375
8 Al 0.259 0.250 0.125
9 Al 0.741 0.750 0.125
10 Al 0.750 0.241 0.375
11 Al 0.750 0.259 0.875
12 Al 0.759 0.750 0.625
13 Mo 0.000 0.000 0.500
14 Mo 0.000 0.500 0.750
15 Mo 0.500 0.000 0.250
16 Mo 0.500 0.500 0.000

The value obtained for the total moment is 0.00 μB/f.u.

---

2:
NbAl2Mo after structural relaxation. Source: Alexandria, functional PBE.

Cell: 3.650 3.650 18.199 Å, 90.00 90.00 120.00°
Positions (direct):
1 Nb 0.000 0.000 0.000
2 Nb 0.333 0.667 0.667
3 Nb 0.667 0.333 0.333
4 Al 0.000 0.000 0.246
5 Al 0.000 0.000 0.754
6 Al 0.333 0.667 0.421
7 Al 0.333 0.667 0.913
8 Al 0.667 0.333 0.087
9 Al 0.667 0.333 0.579
10 Mo 0.000 0.000 0.500
11 Mo 0.333 0.667 0.167
12 Mo 0.667 0.333 0.833

The value obtained for the total moment is 0.00 μB/f.u.

---

So which one wins? Going from most stable to least: 1, 2.

---

1:
AlNi6Mo after structural relaxation. Source: Alexandria, functional PBE.

Cell: 6.240 6.240 10.177 Å, 90.00 90.00 109.48°
Positions (direct):
1 Al 0.000 0.000 0.247
2 Al 0.000 0.000 0.753
3 Al 0.252 0.748 0.000
4 Al 0.748 0.252 0.000
5 Ni 0.000 0.000 0.000
6 Ni 0.000 0.000 0.500
7 Ni 0.125 0.374 0.125
8 Ni 0.125 0.374 0.875
9 Ni 0.125 0.375 0.375
10 Ni 0.125 0.375 0.625
11 Ni 0.251 0.749 0.251
12 Ni 0.251 0.749 0.749
13 Ni 0.374 0.125 0.125
14 Ni 0.374 0.125 0.875
15 Ni 0.375 0.125 0.375
16 Ni 0.375 0.125 0.625
17 Ni 0.500 0.500 0.000
18 Ni 0.500 0.500 0.500
19 Ni 0.625 0.875 0.375
20 Ni 0.625 0.875 0.625
21 Ni 0.626 0.875 0.125
22 Ni 0.626 0.875 0.875
23 Ni 0.749 0.251 0.251
24 Ni 0.749 0.251 0.749
25 Ni 0.875 0.625 0.375
26 Ni 0.875 0.625 0.625
27 Ni 0.875 0.626 0.125
28 Ni 0.875 0.626 0.875
29 Mo 0.253 0.747 0.500
30 Mo 0.500 0.500 0.243
31 Mo 0.500 0.500 0.757
32 Mo 0.747 0.253 0.500

The value obtained for the total moment is 0.00 μB/f.u.

---

2:
AlNi6Mo after structural relaxation. Source: Alexandria, functional PBE.

Cell: 3.607 3.607 7.163 Å, 90.00 90.00 90.00°
Positions (direct):
1 Al 0.000 0.000 0.000
2 Ni 0.000 0.500 0.250
3 Ni 0.000 0.500 0.750
4 Ni 0.500 0.000 0.250
5 Ni 0.500 0.000 0.750
6 Ni 0.500 0.500 0.000
7 Ni 0.500 0.500 0.500
8 Mo 0.000 0.000 0.500

The value obtained for the total moment is 0.00 μB/f.u.

---

So which one wins? Going from most stable to least: 2, 1.

---

1:
AlNi3Mo after structural relaxation. Source: Alexandria, functional PBE.

Cell: 4.200 4.200 4.200 Å, 90.00 90.00 90.00°
Positions (direct):
1 Al 0.000 0.000 0.000
2 Ni 0.000 0.000 0.500
3 Ni 0.000 0.500 0.000
4 Ni 0.500 0.000 0.000
5 Mo 0.500 0.500 0.500

The value obtained for the total moment is 3.06 μB/f.u.

---

2:
AlNi3Mo after structural relaxation. Source: Alexandria, functional PBE.

Cell: 4.481 4.481 4.481 Å, 90.00 90.00 90.00°
Positions (direct):
1 Al 0.000 0.000 0.000
2 Ni 0.000 0.500 0.500
3 Ni 0.500 0.000 0.500
4 Ni 0.500 0.500 0.000
5 Mo 0.500 0.500 0.500

The value obtained for the total moment is 0.00 μB/f.u.

---

So which one wins? Going from most stable to least: 1, 2.